No. 1
KAl2Se | PBE | optimized geometry

Values from the calculation:
magnetic moment	0.0	μB/cell
E_form (uncorrected)	0.163	eV per atom
V	98.8	Å³ per cell
SG	No. 216
total energy	-2.854	eV per atom

Cell: 5.189 5.189 5.189 Å, 60.00 60.00 60.00°
Positions (direct):
1 K 0.000 0.000 0.000
2 Al 0.500 0.500 0.500
3 Al 0.750 0.750 0.750
4 Se 0.250 0.250 0.250

No. 2
SmLuGaRu | PBE | optimized geometry

Values from the calculation:
magnetic moment	0.0	μB/cell
ΔH_f (0 K)	-426	meV per atom
V	85.0	Å³ per cell
SG	No. 216
total energy	-5.812	eV per atom

Cell: 4.935 4.935 4.935 Å, 60.00 60.00 60.00°
Positions (direct):
1 Sm 0.000 0.000 0.000
2 Lu 0.500 0.500 0.500
3 Ga 0.250 0.250 0.250
4 Ru 0.750 0.750 0.750

No. 3
Si23Te3 | PBE | optimized geometry

Values from the calculation:
magnetic moment	0.0	μB/cell
E_form (uncorrected)	0.152	eV per atom
V	1061.6	Å³ per cell
SG	No. 223
total energy	-5.008	eV per atom

Cell: 10.201 10.201 10.201 Å, 90.00 90.00 90.00°
Positions (direct):
1 Si 0.000 0.116 0.310
2 Si 0.000 0.116 0.690
3 Si 0.000 0.250 0.500
4 Si 0.000 0.750 0.500
5 Si 0.000 0.884 0.310
6 Si 0.000 0.884 0.690
7 Si 0.116 0.310 0.000
8 Si 0.116 0.690 0.000
9 Si 0.184 0.184 0.184
10 Si 0.184 0.184 0.816
11 Si 0.184 0.816 0.184
12 Si 0.184 0.816 0.816
13 Si 0.190 0.384 0.500
14 Si 0.190 0.616 0.500
15 Si 0.250 0.500 0.000
16 Si 0.310 0.000 0.116
17 Si 0.310 0.000 0.884
18 Si 0.316 0.316 0.316
19 Si 0.316 0.316 0.684
20 Si 0.316 0.684 0.316
21 Si 0.316 0.684 0.684
22 Si 0.384 0.500 0.190
23 Si 0.384 0.500 0.810
24 Si 0.500 0.000 0.250
25 Si 0.500 0.000 0.750
26 Si 0.500 0.190 0.384
27 Si 0.500 0.190 0.616
28 Si 0.500 0.810 0.384
29 Si 0.500 0.810 0.616
30 Si 0.616 0.500 0.190
31 Si 0.616 0.500 0.810
32 Si 0.684 0.316 0.316
33 Si 0.684 0.316 0.684
34 Si 0.684 0.684 0.316
35 Si 0.684 0.684 0.684
36 Si 0.690 0.000 0.116
37 Si 0.690 0.000 0.884
38 Si 0.750 0.500 0.000
39 Si 0.810 0.384 0.500
40 Si 0.810 0.616 0.500
41 Si 0.816 0.184 0.184
42 Si 0.816 0.184 0.816
43 Si 0.816 0.816 0.184
44 Si 0.816 0.816 0.816
45 Si 0.884 0.310 0.000
46 Si 0.884 0.690 0.000
47 Te 0.000 0.500 0.250
48 Te 0.000 0.500 0.750
49 Te 0.250 0.000 0.500
50 Te 0.500 0.250 0.000
51 Te 0.500 0.750 0.000
52 Te 0.750 0.000 0.500

Question: What is the formula in the second record?
Answer: SmLuGaRu